Entry 1:
VASP calculation (PBE) on a relaxed structure of AcPr2Sm6.

Properties
formation energy	0.106	eV per atom
magnetic moment	0.00	μB/f.u.

The structure in CIF format:
```
data_AcPr2Sm6
_space_group_name_H-M_alt 'C 1 2/c 1'
_space_group_IT_number 15
_cell_length_a 11.080
_cell_length_b 18.102
_cell_length_c 6.360
_cell_angle_alpha 90.00
_cell_angle_beta 94.02
_cell_angle_gamma 90.00
loop_
_space_group_symop_operation_xyz
'x,y,z'
'-x,-y,-z'
'-x,y,-z+1/2'
'x,-y,z+1/2'
'x+1/2,y+1/2,z'
'-x+1/2,-y+1/2,-z'
'-x+1/2,y+1/2,-z+1/2'
'x+1/2,-y+1/2,z+1/2'
loop_
_atom_site_label
_atom_site_type_symbol
_atom_site_fract_x
_atom_site_fract_y
_atom_site_fract_z
Ac1 Ac 0.000 0.250 0.250
Pr1 Pr 0.250 0.094 0.499
Sm1 Sm 0.090 0.076 0.992
Sm2 Sm 0.090 0.424 0.992
Sm3 Sm 0.160 0.249 0.772
```


Entry 2:
VASP calculation (PBE) on a relaxed structure of AcPr7Sm12.

Properties
formation energy	0.210	eV per atom
magnetic moment	0.00	μB/f.u.

The structure in CIF format:
```
data_AcPr7Sm12
_space_group_name_H-M_alt 'R -3'
_space_group_IT_number 148
_space_group_name_Hall '-R 3'
_cell_length_a 12.4024
_cell_length_b 12.4024
_cell_length_c 16.1633
_cell_angle_alpha 90.00
_cell_angle_beta 90.00
_cell_angle_gamma 120.00
loop_
_atom_site_label
_atom_site_type_symbol
_atom_site_fract_x
_atom_site_fract_y
_atom_site_fract_z
Ac1 Ac 0.0000 0.0000 0.0000
Pr1 Pr 0.0000 0.0000 0.5000
Pr2 Pr 0.0499 0.1889 0.7941
Sm1 Sm 0.0115 0.4394 0.7187
Sm2 Sm 0.0505 0.5905 0.0836
```


Entry 3:
VASP calculation (PBE) on a relaxed structure of Ac2Pr2Sm.

Properties
formation energy	0.416	eV per atom
magnetic moment	0.00	μB/f.u.

The structure in CIF format:
```
data_Ac2Pr2Sm
_space_group_name_H-M_alt 'I 4/m m m'
_space_group_IT_number 139
_space_group_name_Hall '-I 4 2'
_cell_length_a 4.989
_cell_length_b 4.989
_cell_length_c 16.796
_cell_angle_alpha 90.00
_cell_angle_beta 90.00
_cell_angle_gamma 90.00
loop_
_atom_site_label
_atom_site_type_symbol
_atom_site_fract_x
_atom_site_fract_y
_atom_site_fract_z
Ac1 Ac 0.000 0.500 0.250
Pr1 Pr 0.000 0.000 0.091
Sm1 Sm 0.000 0.000 0.500
```


Entry 4:
VASP calculation (PBE) on a relaxed structure of Ac2PrSm8.

Properties
formation energy	0.186	eV per atom
magnetic moment	0.00	μB/f.u.

The structure in CIF format:
```
data_Ac2PrSm8
_space_group_name_H-M_alt 'C 1 2/m 1'
_space_group_IT_number 12
_cell_length_a 19.982
_cell_length_b 7.160
_cell_length_c 5.730
_cell_angle_alpha 90.00
_cell_angle_beta 93.07
_cell_angle_gamma 90.00
loop_
_space_group_symop_operation_xyz
'x,y,z'
'-x,-y,-z'
'-x,y,-z'
'x,-y,z'
'x+1/2,y+1/2,z'
'-x+1/2,-y+1/2,-z'
'-x+1/2,y+1/2,-z'
'x+1/2,-y+1/2,z'
loop_
_atom_site_label
_atom_site_type_symbol
_atom_site_fract_x
_atom_site_fract_y
_atom_site_fract_z
Ac1 Ac 0.218 0.000 0.256
Pr1 Pr 0.000 0.500 0.000
Sm1 Sm 0.044 0.000 0.237
Sm2 Sm 0.125 0.234 0.733
Sm3 Sm 0.177 0.500 0.227
```


Number 1: polymorph energy (0 for the lowest one) 0.000 eV per atom. Number 2: polymorph energy (0 for the lowest one) 0.000 eV per atom. Number 3: polymorph energy (0 for the lowest one) 0.378 eV per atom. Number 4: polymorph energy (0 for the lowest one) 0.020 eV per atom.